1.
A plane-wave DFT calculation with PBE was carried out for Ce5In2Os after structural relaxation.

a b c (Å): 5.483 16.963 12.045
angles (deg): 90.00 90.00 90.00
Space group Cmcm (No. 63)
Asymmetric unit:
Ce1 0.000 0.052 0.096 [8 per cell]
Ce2 0.000 0.275 0.062 [8 per cell]
Ce3 0.000 0.316 0.750 [4 per cell]
In1 0.000 0.136 0.634 [8 per cell]
Os1 0.000 0.170 0.250 [4 per cell]

Output
The density of states at the Fermi level is 109.52 states/eV/cell. The value obtained for the formation energy is 0.1343 eV per atom. As for the calculated volume: 35.0 Å³/atom. The offset from the most stable computed form comes out at 0.2609 eV/atom. The calculation puts the magnetic moment at 19.4 μB per cell.

***

2.
A plane-wave DFT calculation with PBE was carried out for ZnCd3Re after structural relaxation.

a b c (Å): 4.915 4.915 4.915
angles (deg): 90.00 90.00 90.00
Space group Pm-3m (No. 221)
Asymmetric unit:
Zn1 0.000 0.000 0.000 [1 per cell]
Cd1 0.000 0.000 0.500 [3 per cell]
Re1 0.500 0.500 0.500 [1 per cell]

Output
The density of states at the Fermi level is 3.46 states/eV/cell. The value obtained for the formation energy is 1.3232 eV per atom. As for the calculated volume: 23.7 Å³/atom. The offset from the most stable computed form comes out at 0.2036 eV/atom. The calculation puts the magnetic moment at 3.6 μB per cell.

***

3.
A plane-wave DFT calculation with PBE was carried out for TiMnN2 after structural relaxation.

a b c (Å): 6.203 4.127 6.840
angles (deg): 90.00 90.00 90.00
Space group Pnma (No. 62)
Asymmetric unit:
Ti1 0.080 0.250 0.132 [4 per cell]
Mn1 0.102 0.250 0.615 [4 per cell]
N1 0.071 0.750 0.127 [4 per cell]
N2 0.100 0.750 0.622 [4 per cell]

Output
The density of states at the Fermi level is 4.96 states/eV/cell. The value obtained for the formation energy without anion corrections is -0.9522 eV per atom. As for the calculated volume: 10.9 Å³/atom. The calculation puts the magnetic moment at 13.3 μB per cell.

***

4.
A plane-wave DFT calculation with PBE was carried out for BaMgIn3 after structural relaxation.

a b c (Å): 6.963 6.972 12.494
angles (deg): 90.00 90.00 90.00
Space group Fmm2 (No. 42)
Asymmetric unit:
Ba1 0.000 0.000 0.000 [4 per cell]
Mg1 0.000 0.000 0.618 [4 per cell]
In1 0.000 0.000 0.391 [4 per cell]
In2 0.250 0.250 0.249 [8 per cell]

Output
The density of states at the Fermi level is 8.22 states/eV/cell. The value obtained for the formation energy is -0.3305 eV per atom. As for the calculated volume: 30.3 Å³/atom. The calculation puts the magnetic moment at 0.0 μB per cell.

***

5.
A plane-wave DFT calculation with PBE was carried out for Hf4NiSn after structural relaxation.

a b c (Å): 6.658 6.658 5.526
angles (deg): 90.00 90.00 90.00
Space group P4/mcc (No. 124)
Asymmetric unit:
Hf1 0.139 0.322 0.000 [8 per cell]
Ni1 0.000 0.000 0.250 [2 per cell]
Sn1 0.500 0.500 0.250 [2 per cell]

Output
The density of states at the Fermi level is 11.22 states/eV/cell. The value obtained for the formation energy is -0.2919 eV per atom. As for the calculated volume: 20.4 Å³/atom. The calculation puts the magnetic moment at 0.0 μB per cell.

***

6.
A plane-wave DFT calculation with PBE was carried out for B2SeN after structural relaxation.

a b c (Å): 4.534 4.534 7.369
angles (deg): 90.00 90.00 90.00
Space group I-42d (No. 122)
Asymmetric unit:
B1 0.151 0.250 0.125 [8 per cell]
Se1 0.000 0.000 0.500 [4 per cell]
N1 0.000 0.000 0.000 [4 per cell]

Output
The density of states at the Fermi level is 3.32 states/eV/cell. The value obtained for the formation energy without anion corrections is 0.2525 eV per atom. As for the calculated volume: 9.5 Å³/atom. The offset from the most stable computed form comes out at 0.0000 eV/atom. The calculation puts the magnetic moment at 0.0 μB per cell.

***

7.
A plane-wave DFT calculation with PBE was carried out for Dy2Ga3CuPt4 after structural relaxation.

a b c (Å): 4.033 4.033 11.318
angles (deg): 90.00 90.00 90.00
Space group P-4m2 (No. 115)
Asymmetric unit:
Dy1 0.000 0.500 0.241 [2 per cell]
Ga1 0.000 0.000 0.000 [1 per cell]
Ga2 0.000 0.500 0.634 [2 per cell]
Cu1 0.500 0.500 0.000 [1 per cell]
Pt1 0.000 0.000 0.500 [1 per cell]
Pt2 0.000 0.500 0.853 [2 per cell]
Pt3 0.500 0.500 0.500 [1 per cell]

Output
The density of states at the Fermi level is 4.25 states/eV/cell. The value obtained for the formation energy is -0.8804 eV per atom. As for the calculated volume: 18.4 Å³/atom. The calculation puts the magnetic moment at 0.0 μB per cell.

***

8.
A plane-wave DFT calculation with PBE was carried out for Al4W3 after structural relaxation.

a b c (Å): 5.3217 5.3217 4.8210
angles (deg): 90.00 90.00 120.00
Space group P6/mmm (No. 191)
Asymmetric unit:
Al1 0.0000 0.0000 0.2495 [2 per cell]
Al2 0.3333 0.6667 0.0000 [2 per cell]
W1 0.0000 0.5000 0.5000 [3 per cell]

Output
The density of states at the Fermi level is 4.78 states/eV/cell. The value obtained for the formation energy is 0.0994 eV per atom. As for the calculated volume: 16.9 Å³/atom. The offset from the most stable computed form comes out at 0.1511 eV/atom. The calculation puts the magnetic moment at 0.0 μB per cell.

***

9.
A plane-wave DFT calculation with PBE was carried out for CeAlSb after structural relaxation.

a b c (Å): 4.277 4.277 20.684
angles (deg): 90.00 90.00 90.00
Space group I4/mmm (No. 139)
Asymmetric unit:
Ce1 0.000 0.000 0.130 [4 per cell]
Al1 0.000 0.000 0.275 [4 per cell]
Sb1 0.000 0.000 0.409 [4 per cell]

Output
The density of states at the Fermi level is 27.56 states/eV/cell. The value obtained for the formation energy without anion corrections is -0.3168 eV per atom. As for the calculated volume: 31.5 Å³/atom. The calculation puts the magnetic moment at 3.6 μB per cell.

***

10.
A plane-wave DFT calculation with PBE was carried out for Pr3Lu after structural relaxation.

a b c (Å): 5.177 5.177 10.260
angles (deg): 90.00 90.00 90.00
Space group I4/mmm (No. 139)
Asymmetric unit:
Pr1 0.000 0.000 0.000 [2 per cell]
Pr2 0.000 0.500 0.250 [4 per cell]
Lu1 0.000 0.000 0.500 [2 per cell]

Output
The density of states at the Fermi level is 11.46 states/eV/cell. The value obtained for the formation energy is 0.0178 eV per atom. As for the calculated volume: 34.4 Å³/atom. The offset from the most stable computed form comes out at 0.0048 eV/atom. The calculation puts the magnetic moment at 0.0 μB per cell.

***

11.
A plane-wave DFT calculation with PBE was carried out for Nd3Np after structural relaxation.

a b c (Å): 7.2299 7.2299 5.8352
angles (deg): 90.00 90.00 120.00
Space group P6_3/mmc (No. 194)
Asymmetric unit:
Nd1 0.1694 0.3388 0.2500 [6 per cell]
Np1 0.3333 0.6667 0.7500 [2 per cell]

Output
The density of states at the Fermi level is 30.85 states/eV/cell. The value obtained for the formation energy is 0.4139 eV per atom. As for the calculated volume: 33.0 Å³/atom. The calculation puts the magnetic moment at 10.1 μB per cell.

***

12.
A plane-wave DFT calculation with PBE was carried out for ZrTcGe2 after structural relaxation.

a b c (Å): 4.2055 4.2055 13.5170
angles (deg): 90.00 90.00 120.00
Space group R-3m (No. 166, hexagonal axes)
Asymmetric unit:
Zr1 0.0000 0.0000 0.0000 [3 per cell]
Tc1 0.0000 0.0000 0.5000 [3 per cell]
Ge1 0.0000 0.0000 0.2286 [6 per cell]

Output
The density of states at the Fermi level is 9.63 states/eV/cell. The value obtained for the formation energy is -0.3530 eV per atom. As for the calculated volume: 17.3 Å³/atom. The offset from the most stable computed form comes out at 0.0000 eV/atom. The calculation puts the magnetic moment at 0.0 μB per cell.

***

13.
A plane-wave DFT calculation with PBE was carried out for Sr2Al2Ni after structural relaxation.

a b c (Å): 6.899 6.899 5.294
angles (deg): 90.00 90.00 90.00
Space group P4/mbm (No. 127)
Asymmetric unit:
Sr1 0.178 0.322 0.000 [4 per cell]
Al1 0.142 0.642 0.500 [4 per cell]
Ni1 0.000 0.000 0.500 [2 per cell]

Output
The density of states at the Fermi level is 8.52 states/eV/cell. The value obtained for the formation energy is 0.0358 eV per atom. As for the calculated volume: 25.2 Å³/atom. The calculation puts the magnetic moment at 0.0 μB per cell.

***

14.
A plane-wave DFT calculation with PBE was carried out for Tb6Er3Tl after structural relaxation.

a b c (Å): 12.684 3.496 14.220
angles (deg): 90.00 100.45 90.00
Space group P2_1/m (No. 11)
Asymmetric unit:
Tb1 0.012 0.250 0.309 [2 per cell]
Tb2 0.157 0.250 0.883 [2 per cell]
Tb3 0.253 0.750 0.306 [2 per cell]
Tb4 0.271 0.750 0.714 [2 per cell]
Tb5 0.308 0.750 0.073 [2 per cell]
Tb6 0.385 0.250 0.533 [2 per cell]
Er1 0.078 0.250 0.096 [2 per cell]
Er2 0.129 0.750 0.501 [2 per cell]
Er3 0.426 0.250 0.897 [2 per cell]
Tl1 0.468 0.250 0.275 [2 per cell]

Output
The density of states at the Fermi level is 28.91 states/eV/cell. The value obtained for the formation energy is 0.0133 eV per atom. As for the calculated volume: 31.0 Å³/atom. The offset from the most stable computed form comes out at 0.0000 eV/atom. The calculation puts the magnetic moment at 0.0 μB per cell.

***

15.
A plane-wave DFT calculation with PBE was carried out for ZrCrGe after structural relaxation.

a b c (Å): 4.0310 4.0310 22.9453
angles (deg): 90.00 90.00 120.00
Space group R3m (No. 160, hexagonal axes)
Asymmetric unit:
Zr1 0.0000 0.0000 0.0000 [3 per cell]
Zr2 0.0000 0.0000 0.1399 [3 per cell]
Cr1 0.0000 0.0000 0.5613 [3 per cell]
Cr2 0.0000 0.0000 0.8713 [3 per cell]
Ge1 0.0000 0.0000 0.2651 [3 per cell]
Ge2 0.0000 0.0000 0.7387 [3 per cell]

Output
The density of states at the Fermi level is 4.74 states/eV/cell. The value obtained for the formation energy is -0.2852 eV per atom. As for the calculated volume: 17.9 Å³/atom. The calculation puts the magnetic moment at 0.3 μB per cell.

***

16.
A plane-wave DFT calculation with PBE was carried out for CsGa3Ag after structural relaxation.

a b c (Å): 5.296 5.296 5.296
angles (deg): 90.00 90.00 90.00
Space group Pm-3m (No. 221)
Asymmetric unit:
Cs1 0.000 0.000 0.000 [1 per cell]
Ga1 0.000 0.500 0.500 [3 per cell]
Ag1 0.500 0.500 0.500 [1 per cell]

Output
The density of states at the Fermi level is 6.52 states/eV/cell. The value obtained for the formation energy is 0.2416 eV per atom. As for the calculated volume: 29.7 Å³/atom. The offset from the most stable computed form comes out at 0.0000 eV/atom. The calculation puts the magnetic moment at 0.0 μB per cell.

***

17.
A plane-wave DFT calculation with PBE was carried out for Er2TmP3Rh12 after structural relaxation.

a b c (Å): 8.9070 8.9070 12.8044
angles (deg): 90.00 90.00 120.00
Space group R-3m (No. 166, hexagonal axes)
Asymmetric unit:
Er1 0.0000 0.0000 0.1272 [6 per cell]
Tm1 0.0000 0.0000 0.5000 [3 per cell]
P1 0.0000 0.5000 0.0000 [9 per cell]
Rh1 0.0110 0.5055 0.8260 [18 per cell]
Rh2 0.0243 0.5121 0.3824 [18 per cell]

Output
The density of states at the Fermi level is 46.88 states/eV/cell. The value obtained for the formation energy is -0.4377 eV per atom. As for the calculated volume: 16.3 Å³/atom. The calculation puts the magnetic moment at 0.0 μB per cell.

***

18.
A plane-wave DFT calculation with PBE was carried out for AcIrC2O8 after structural relaxation.

a b c (Å): 8.724 5.037 6.393
angles (deg): 90.00 116.85 90.00
Space group C2/m (No. 12)
Asymmetric unit:
Ac1 0.000 0.000 0.000 [2 per cell]
Ir1 0.000 0.500 0.500 [2 per cell]
C1 0.210 0.000 0.631 [4 per cell]
O1 0.102 0.500 0.268 [4 per cell]
O2 0.137 0.000 0.409 [4 per cell]
O3 0.166 0.231 0.732 [8 per cell]

Output
The density of states at the Fermi level is 15.24 states/eV/cell. The value obtained for the formation energy without anion corrections is -1.3703 eV per atom. As for the calculated volume: 10.4 Å³/atom. The calculation puts the magnetic moment at 0.0 μB per cell.

***

19.
A plane-wave DFT calculation with PBE was carried out for GdErScAg after structural relaxation.

a b c (Å): 7.442 7.442 7.442
angles (deg): 90.00 90.00 90.00
Space group F-43m (No. 216)
Asymmetric unit:
Gd1 0.000 0.000 0.000 [4 per cell]
Er1 0.000 0.000 0.500 [4 per cell]
Sc1 0.250 0.250 0.250 [4 per cell]
Ag1 0.250 0.250 0.750 [4 per cell]

Output
The density of states at the Fermi level is 18.73 states/eV/cell. The value obtained for the formation energy is 0.0306 eV per atom. As for the calculated volume: 25.8 Å³/atom. The calculation puts the magnetic moment at 29.5 μB per cell.

***

20.
A plane-wave DFT calculation with PBE was carried out for DyPa4Se7 after structural relaxation.

a b c (Å): 4.0764 4.0764 23.8168
angles (deg): 90.00 90.00 120.00
Space group P-3m1 (No. 164)
Asymmetric unit:
Dy1 0.0000 0.0000 0.0000 [1 per cell]
Pa1 0.3333 0.6667 0.1410 [2 per cell]
Pa2 0.3333 0.6667 0.4318 [2 per cell]
Se1 0.0000 0.0000 0.2085 [2 per cell]
Se2 0.0000 0.0000 0.5000 [1 per cell]
Se3 0.3333 0.6667 0.6360 [2 per cell]
Se4 0.3333 0.6667 0.9313 [2 per cell]

Output
The density of states at the Fermi level is 15.44 states/eV/cell. The value obtained for the formation energy without anion corrections is -1.3722 eV per atom. As for the calculated volume: 28.6 Å³/atom. The calculation puts the magnetic moment at 2.2 μB per cell.

***

21.
A plane-wave DFT calculation with PBE was carried out for Ac8Pb5Br after structural relaxation.

a b c (Å): 10.174 10.174 10.371
angles (deg): 90.00 90.00 90.00
Space group I-4 (No. 82)
Asymmetric unit:
Ac1 0.071 0.317 0.050 [8 per cell]
Ac2 0.076 0.185 0.682 [8 per cell]
Pb1 0.000 0.500 0.750 [2 per cell]
Pb2 0.125 0.252 0.368 [8 per cell]
Br1 0.000 0.000 0.000 [2 per cell]

Output
The density of states at the Fermi level is 29.62 states/eV/cell. The value obtained for the formation energy without anion corrections is -0.6015 eV per atom. As for the calculated volume: 38.3 Å³/atom. The calculation puts the magnetic moment at 0.0 μB per cell.

***

22.
A plane-wave DFT calculation with PBE was carried out for Pa2AsO8 after structural relaxation.

a b c (Å): 7.118 10.901 4.189
angles (deg): 90.00 90.00 90.00
Space group Cmm2 (No. 35)
Asymmetric unit:
Pa1 0.000 0.187 0.000 [4 per cell]
As1 0.000 0.500 0.064 [2 per cell]
O1 0.000 0.000 0.994 [2 per cell]
O2 0.000 0.193 0.500 [4 per cell]
O3 0.000 0.500 0.487 [2 per cell]
O4 0.173 0.374 0.006 [8 per cell]

Output
The density of states at the Fermi level is 10.61 states/eV/cell. The value obtained for the formation energy without anion corrections is -2.4621 eV per atom. As for the calculated volume: 14.8 Å³/atom. The calculation puts the magnetic moment at 1.9 μB per cell.